No. 1
First-principles (PBEsol) data for an optimized crystal structure of MoIr2Os, as listed in the Alexandria database.

Computed properties:
The formation energy from the elements comes out at -0.21 eV per atom. The calculation puts the final energy at -44.487 eV/f.u.

Cell and atoms, written as CIF:
```
data_MoIr2Os
_chemical_formula_sum 'Mo1 Ir2 Os1'
_symmetry_space_group_name_H-M 'P 4/m m m'
_symmetry_Int_Tables_number 123
_symmetry_space_group_name_Hall '-P 4 2'
_cell_length_a 3.8275
_cell_length_b 3.8275
_cell_length_c 3.8802
_cell_angle_alpha 90.00
_cell_angle_beta 90.00
_cell_angle_gamma 90.00
loop_
_atom_site_label
_atom_site_fract_x
_atom_site_fract_y
_atom_site_fract_z
Mo1 0.0000 0.0000 0.0000
Ir1 0.0000 0.5000 0.5000
Os1 0.5000 0.5000 0.0000
```


No. 2
First-principles (PBEsol) data for an optimized crystal structure of CaGaAs2Br, as listed in the Alexandria database.

Computed properties:
The calculation puts the final energy at -18.841 eV/f.u.

Cell and atoms, written as CIF:
```
data_CaGaAs2Br
_chemical_formula_sum 'Ca1 Ga1 As2 Br1'
_symmetry_space_group_name_H-M 'P 4/m m m'
_symmetry_Int_Tables_number 123
_symmetry_space_group_name_Hall '-P 4 2'
_cell_length_a 4.7783
_cell_length_b 4.7783
_cell_length_c 5.5815
_cell_angle_alpha 90.00
_cell_angle_beta 90.00
_cell_angle_gamma 90.00
loop_
_atom_site_label
_atom_site_fract_x
_atom_site_fract_y
_atom_site_fract_z
Ca1 0.0000 0.0000 0.0000
Ga1 0.5000 0.5000 0.5000
As1 0.0000 0.5000 0.5000
Br1 0.5000 0.5000 0.0000
```


No. 3
First-principles (PBEsol) data for an optimized crystal structure of LiHoIn2, as listed in the Alexandria database.

Computed properties:
The formation energy from the elements comes out at -0.42 eV per atom. The calculation puts the final energy at -14.580 eV/f.u.

Cell and atoms, written as CIF:
```
data_LiHoIn2
_chemical_formula_sum 'Li4 Ho4 In8'
_symmetry_space_group_name_H-M 'F m -3 m'
_symmetry_Int_Tables_number 225
_symmetry_space_group_name_Hall '-F 4 2 3'
_cell_length_a 7.1081
_cell_length_b 7.1081
_cell_length_c 7.1081
_cell_angle_alpha 90.00
_cell_angle_beta 90.00
_cell_angle_gamma 90.00
loop_
_atom_site_label
_atom_site_fract_x
_atom_site_fract_y
_atom_site_fract_z
Li1 0.0000 0.0000 0.0000
Ho1 0.0000 0.0000 0.5000
In1 0.2500 0.2500 0.2500
```


No. 4
First-principles (PBEsol) data for an optimized crystal structure of YTaTc3, as listed in the Alexandria database.

Computed properties:
The formation energy from the elements comes out at 2.26 eV per atom. The calculation puts the final energy at -41.882 eV/f.u.

Cell and atoms, written as CIF:
```
data_YTaTc3
_chemical_formula_sum 'Y1 Ta1 Tc3'
_symmetry_space_group_name_H-M 'P m -3 m'
_symmetry_Int_Tables_number 221
_symmetry_space_group_name_Hall '-P 4 2 3'
_cell_length_a 4.5655
_cell_length_b 4.5655
_cell_length_c 4.5655
_cell_angle_alpha 90.00
_cell_angle_beta 90.00
_cell_angle_gamma 90.00
loop_
_atom_site_label
_atom_site_fract_x
_atom_site_fract_y
_atom_site_fract_z
Y1 0.0000 0.0000 0.0000
Ta1 0.5000 0.5000 0.5000
Tc1 0.0000 0.0000 0.5000
```


No. 5
First-principles (PBEsol) data for an optimized crystal structure of BaNiC2, as listed in the Alexandria database.

Computed properties:
The formation energy from the elements comes out at 0.79 eV per atom. The calculation puts the final energy at -24.443 eV/f.u.

Cell and atoms, written as CIF:
```
data_BaNiC2
_chemical_formula_sum 'Ba4 Ni4 C8'
_symmetry_space_group_name_H-M 'I 41/a m d'
_symmetry_Int_Tables_number 141
_cell_length_a 4.5928
_cell_length_b 4.5928
_cell_length_c 11.6438
_cell_angle_alpha 90.00
_cell_angle_beta 90.00
_cell_angle_gamma 90.00
loop_
_symmetry_equiv_pos_as_xyz
'x,y,z'
'-x,-y,-z'
'-y+1/4,x+3/4,z+1/4'
'y+1/4,-x+3/4,-z+1/4'
'-x+1/2,-y,z+1/2'
'x+1/2,y,-z+1/2'
'y+1/4,-x+1/4,z+3/4'
'-y+1/4,x+1/4,-z+3/4'
'x,-y,-z'
'-x,y,z'
'-y+1/4,-x+1/4,-z+3/4'
'y+1/4,x+1/4,z+3/4'
'-x+1/2,y,-z+1/2'
'x+1/2,-y,z+1/2'
'y+1/4,x+3/4,-z+1/4'
'-y+1/4,-x+3/4,z+1/4'
'x+1/2,y+1/2,z+1/2'
'-x+1/2,-y+1/2,-z+1/2'
'-y+3/4,x+1/4,z+3/4'
'y+3/4,-x+1/4,-z+3/4'
'-x,-y+1/2,z'
'x,y+1/2,-z'
'y+3/4,-x+3/4,z+1/4'
'-y+3/4,x+3/4,-z+1/4'
'x+1/2,-y+1/2,-z+1/2'
'-x+1/2,y+1/2,z+1/2'
'-y+3/4,-x+3/4,-z+1/4'
'y+3/4,x+3/4,z+1/4'
'-x,y+1/2,-z'
'x,-y+1/2,z'
'y+3/4,x+1/4,-z+3/4'
'-y+3/4,-x+1/4,z+3/4'
loop_
_atom_site_label
_atom_site_fract_x
_atom_site_fract_y
_atom_site_fract_z
Ba1 0.0000 0.2500 0.3750
Ni1 0.0000 0.2500 0.8750
C1 0.0000 0.0000 0.0000
```


No. 6
First-principles (PBEsol) data for an optimized crystal structure of Ca2SnS4, as listed in the Alexandria database.

Computed properties:
The calculation puts the final energy at -36.005 eV/f.u.

Cell and atoms, written as CIF:
```
data_Ca2SnS4
_chemical_formula_sum 'Ca4 Sn2 S8'
_symmetry_space_group_name_H-M 'P b a m'
_symmetry_Int_Tables_number 55
_cell_length_a 7.0392
_cell_length_b 11.2396
_cell_length_c 3.9254
_cell_angle_alpha 90.00
_cell_angle_beta 90.00
_cell_angle_gamma 90.00
loop_
_symmetry_equiv_pos_as_xyz
'x,y,z'
'-x,-y,-z'
'-x,-y,z'
'x,y,-z'
'x+1/2,-y+1/2,-z'
'-x+1/2,y+1/2,z'
'-x+1/2,y+1/2,-z'
'x+1/2,-y+1/2,z'
loop_
_atom_site_label
_atom_site_fract_x
_atom_site_fract_y
_atom_site_fract_z
Ca1 0.0938 0.1843 0.0000
Sn1 0.0000 0.5000 0.5000
S1 0.1271 0.7061 0.5000
S2 0.2353 0.4470 0.0000
```